The following is a DFT calculation (PBE) of crystalline TbNd2Zn2 at its relaxed geometry.

POSCAR file:
```
TbNd2Zn2
1.0
3.6925 0.0000 0.0000
0.0000 5.2140 0.0000
-1.8516 0.0000 13.6489
Tb Nd Zn
2 4 4
Direct
0.1431 0.2500 0.2843
0.8569 0.7500 0.7157
0.0462 0.7500 0.0906
0.2309 0.7500 0.4629
0.7691 0.2500 0.5371
0.9538 0.2500 0.9094
0.3615 0.2500 0.7235
0.4470 0.7500 0.8950
0.5530 0.2500 0.1050
0.6385 0.7500 0.2765
```

Summary:
SG = No. 11
energy of formation = -239.4 meV per atom
energy relative to the lowest polymorph listed for this composition = 0 meV/atom
DFT total energy = -35.82 eV/cell

The following is a DFT calculation (PBE) of crystalline NiRuSe2 at its relaxed geometry.

POSCAR file:
```
NiRuSe2
1.0
1.6003 0.9239 7.0240
-1.6003 0.9239 7.0240
0.0000 -1.8479 7.0240
Ni Ru Se
1 1 2
Direct
0.0000 0.0000 0.0000
0.5000 0.5000 0.5000
0.2543 0.2543 0.2543
0.7457 0.7457 0.7457
```

Summary:
SG = No. 166
energy relative to the lowest polymorph listed for this composition = 278 meV/atom
DFT total energy = -21.68 eV/cell
raw formation energy = 86 meV per atom

The following is a DFT calculation (PBE) of crystalline Al3As at its relaxed geometry.

POSCAR file:
```
Al3As
1.0
5.2253 0.0000 0.0000
0.0000 5.2253 0.0000
0.0000 0.0000 5.2253
Al As
6 2
Direct
0.0000 0.2500 0.5000
0.0000 0.7500 0.5000
0.2500 0.5000 0.0000
0.5000 0.0000 0.2500
0.5000 0.0000 0.7500
0.7500 0.5000 0.0000
0.0000 0.0000 0.0000
0.5000 0.5000 0.5000
```

Summary:
SG = No. 223
energy of formation = 194.4 meV per atom
energy relative to the lowest polymorph listed for this composition = 199 meV/atom
DFT total energy = -30.20 eV/cell

How do the records compare in density? In the order shown, they have 7.3 8.5 3.6 Mg/m³.